A plane-wave DFT calculation with PBE was carried out for Pm2ZnGa4Cu3 after structural relaxation.

a b c (Å): 4.225 4.225 10.167
angles (deg): 90.00 90.00 90.00
Space group P-4m2 (No. 115)
Symmetry-distinct sites (fractional):
Pm 0.000 0.500 0.249 (multiplicity 2)
Zn 0.500 0.500 0.000 (multiplicity 1)
Ga 0.000 0.000 0.500 (multiplicity 1)
Ga 0.000 0.500 0.863 (multiplicity 2)
Ga 0.500 0.500 0.500 (multiplicity 1)
Cu 0.000 0.000 0.000 (multiplicity 1)
Cu 0.000 0.500 0.628 (multiplicity 2)

DFT formation energy, eV/atom: -0.460



A plane-wave DFT calculation with PBE was carried out for YTiOF2 after structural relaxation.

a b c (Å): 4.387 4.387 4.455
angles (deg): 90.00 90.00 90.00
Space group P4/mmm (No. 123)
Symmetry-distinct sites (fractional):
Y 0.000 0.000 0.000 (multiplicity 1)
Ti 0.500 0.500 0.500 (multiplicity 1)
O 0.000 0.000 0.500 (multiplicity 1)
F 0.000 0.500 0.000 (multiplicity 2)

ΔE to the lowest computed polymorph, meV/atom: 108



no.,total moment (μB per cell)
1,0.0
2,2.9